# LiCl2F8 | the Alexandria database | GGA-PBE | optimized geometry
# Crystal system: monoclinic
# Total DFT energy (no corrections): -2.62 eV per atom
# Spin magnetization: 0.0958 μB/atom
# Polymorph energy (0 for the lowest one): 2.96 eV/f.u.
data_LiCl2F8
_chemical_formula_sum 'Li1 Cl2 F8'
_cell_length_a 5.713
_cell_length_b 5.580
_cell_length_c 5.580
_cell_angle_alpha 77.04
_cell_angle_beta 73.50
_cell_angle_gamma 73.50
_space_group_name_H-M_alt 'P 1'
_space_group_IT_number 1
loop_
_space_group_symop_operation_xyz
'x,y,z'
loop_
_atom_site_label
_atom_site_type_symbol
_atom_site_fract_x
_atom_site_fract_y
_atom_site_fract_z
_atom_site_occupancy
Li1 Li 0.000 0.000 0.000 1
Cl1 Cl 0.392 0.182 0.182 1
Cl2 Cl 0.608 0.818 0.818 1
F1 F 0.758 0.149 0.800 1
F2 F 0.242 0.200 0.851 1
F3 F 0.541 0.317 0.317 1
F4 F 0.459 0.683 0.683 1
F5 F 0.758 0.800 0.149 1
F6 F 0.242 0.851 0.200 1
F7 F 0.115 0.325 0.325 1
F8 F 0.885 0.675 0.675 1